Record 1
## TlH2ClO (PBE)

Data for a relaxed TlH2ClO crystal.

Properties
SG: Cmcm (63)
V in Å³ per cell: 173.7

```
TlH2ClO
1.0
4.061 0.000 0.000
-2.030 5.952 0.000
0.000 0.000 7.188
Tl H Cl O
2 4 2 2
Direct
0.627 0.255 0.250
0.373 0.745 0.750
0.064 0.127 0.917
0.936 0.873 0.083
0.064 0.127 0.583
0.936 0.873 0.417
0.335 0.669 0.250
0.665 0.331 0.750
0.000 0.000 0.500
0.000 0.000 0.000
```



Record 2
## Pm9NdIn2 (PBE)

Data for a relaxed Pm9NdIn2 crystal.

Properties
SG: P4/mmm (123)
Energy relative to the elements in meV/atom: -170
V in Å³ per cell: 381.6

```
Pm9NdIn2
1.0
-3.853 2.613 -1.788
-2.762 -4.150 -0.114
-4.762 2.776 14.321
Pm In Nd
9 2 1
Direct
0.500 0.000 0.175
0.500 0.500 0.660
0.000 0.500 0.175
0.500 0.000 0.825
0.500 0.000 0.500
0.500 0.500 0.000
0.000 0.500 0.825
0.500 0.500 0.340
0.000 0.500 0.500
0.000 0.000 0.339
0.000 0.000 0.661
0.000 0.000 0.000
```



Record 3
## SiP2S6 (PBE)

Data for a relaxed SiP2S6 crystal.

Properties
Formation energy from raw total energies in kcal/mol of atoms: -1.19
SG: P2_1/c (14)
V in Å³ per cell: 372.9

```
SiP2S6
1.0
-0.266 5.561 -1.566
-6.368 0.013 1.125
1.668 2.863 9.405
Si S P
2 12 4
Direct
0.500 0.500 0.000
0.000 0.000 0.500
0.856 0.715 0.619
0.644 0.215 0.881
0.658 0.328 0.189
0.309 0.785 0.460
0.144 0.285 0.381
0.842 0.828 0.311
0.691 0.215 0.540
0.158 0.172 0.689
0.356 0.785 0.119
0.342 0.672 0.811
0.191 0.285 0.040
0.809 0.715 0.960
0.996 0.601 0.795
0.004 0.399 0.205
0.504 0.101 0.705
0.496 0.899 0.295
```



Record 4
## ThCd10Cu2 (PBE)

Data for a relaxed ThCd10Cu2 crystal.

Properties
SG: Fmmm (69)
Energy relative to the elements in meV/atom: -46
V in Å³ per cell: 274.7

```
ThCd10Cu2
1.0
0.917 -5.522 -0.011
0.639 -2.717 -6.984
7.391 -1.611 0.182
Th Cd Cu
1 10 2
Direct
0.000 0.000 0.000
0.654 0.362 0.331
0.346 0.638 0.669
0.015 0.638 0.331
0.510 0.775 0.204
0.985 0.362 0.669
0.500 0.000 0.500
0.715 0.775 0.796
0.285 0.225 0.204
0.490 0.225 0.796
0.000 0.000 0.500
0.000 0.500 0.000
0.500 0.500 0.000
```



Record 5
## Nd5YTl6 (PBE)

Data for a relaxed Nd5YTl6 crystal.

Properties
SG: Cmmm (65)
Energy relative to the elements in meV/atom: -388
V in Å³ per cell: 352.9

```
Nd5YTl6
1.0
-4.961 1.798 -1.621
-2.372 -7.294 -0.832
-5.072 0.844 7.061
Nd Tl Y
5 6 1
Direct
0.669 0.500 0.661
0.000 0.500 0.000
0.331 0.500 0.339
0.666 0.000 0.668
0.334 0.000 0.332
0.836 0.246 0.328
0.500 0.247 0.000
0.164 0.754 0.672
0.164 0.246 0.672
0.836 0.754 0.328
0.500 0.753 0.000
0.000 0.000 0.000
```



Record 6
## Ca2In12Cu7 (PBE)

Data for a relaxed Ca2In12Cu7 crystal.

Properties
SG: P-3 (147)
Energy relative to the elements in meV/atom: -79
V in Å³ per cell: 452.0

```
Ca2In12Cu7
1.0
4.337 0.000 0.000
0.000 9.500 -5.485
0.000 0.000 10.970
In Ca Cu
12 2 7
Direct
0.250 0.615 0.056
0.750 0.559 0.615
0.750 0.056 0.441
0.750 0.852 0.114
0.750 0.886 0.737
0.250 0.441 0.385
0.250 0.737 0.852
0.750 0.385 0.944
0.250 0.148 0.886
0.250 0.114 0.263
0.250 0.944 0.559
0.750 0.263 0.148
0.740 0.667 0.333
0.260 0.333 0.667
0.243 0.712 0.585
0.243 0.873 0.288
0.757 0.288 0.415
0.500 0.000 0.000
0.757 0.127 0.712
0.243 0.415 0.127
0.757 0.585 0.873
```



Computed values of energy (unit: hartree per atom) for the preceding records, in sequence: -0.1435, -0.1685, -0.1693, -0.0717, -0.1506, -0.1176.
Computed values of DOS(E_F) (unit: states/eV per atom) for the preceding records, in sequence: 0.000, 1.207, 0.364, 0.440, 0.805, 0.427.